Tl3SnHg | PBE-GGA | optimized geometry Values from VASP.

The density is 10.5 g/cm3. The value obtained for the energy relative to the elements is 17 meV/atom. Its symmetry is P2_1/m, No. 11. As for the raw total energy: -2.264 eV/atom. Its density of states at the Fermi level is 0.4539 states/eV/atom.

```
&SYSTEM
  ibrav = 0, nat = 10, ntyp = 3
/
ATOMIC_SPECIES
Sn 118.71 Sn.upf
Tl 204.38 Tl.upf
Hg 200.59 Hg.upf
CELL_PARAMETERS angstrom
-2.2833 0.5090 -2.6572
5.3475 -4.6151 -5.4792
-4.1453 -8.1331 2.0040
ATOMIC_POSITIONS angstrom
Sn -3.2121 -4.6358 -1.6655
Tl -0.1300 -4.9904 -4.3819
Tl -3.9767 -9.1541 -1.8741
Tl -0.9512 -7.2488 -1.7505
Hg -0.7709 -8.9872 -4.5969
Tl 2.8955 -3.0851 -4.2584
Sn 2.1310 -7.6034 -4.4669
Tl 2.7572 -5.3846 -6.9384
Hg -0.3103 -3.2519 -1.5356
Tl -3.8384 -6.8546 0.8060
```